Computed, not measured: an optimized crystal structure of CsTiTl2F8 at the PBE level of DFT.

Cell: 5.530 5.820 7.416 Å, 92.35 91.05 93.91°
Space group P-1 (No. 2)
Inequivalent atoms, fractional coordinates:
Cs: 0.000 0.000 0.000 x1
Ti: 0.000 0.000 0.500 x1
Tl: 0.490 0.513 0.730 x2
F: 0.093 0.253 0.666 x2
F: 0.171 0.800 0.642 x2
F: 0.275 0.072 0.362 x2
F: 0.443 0.712 0.008 x2

Computed properties:
- energy relative to the elements, uncorrected (eV/atom) = -2.623
- uncorrected energy (eV/f.u.) = -59.93
- crystal system = triclinic
- density of states at the Fermi level (states/eV per cell) = 3.14